Record 1
The following is a GGA-PBEsol calculation of a geometry-optimized RbCaNi2Ge structure, from Alexandria.

The structure belongs to space group P4/mmm (No. 123); the cell edges are 4.562, 4.562 and 5.608 Å and the angles 90.00°, 90.00° and 90.00°. The inequivalent atoms are Rb at (0.000, 0.000, 0.000), Ca at (0.500, 0.500, 0.000), Ni at (0.000, 0.500, 0.500) and Ge at (0.000, 0.000, 0.500).

The formation energy comes out at 3.0 eV/f.u. The magnetization comes out at 0.03 μB per cell.

Record 2
The following is a GGA-PBEsol calculation of a geometry-optimized SrZrTa4 structure, from Alexandria.

The structure belongs to space group F-43m (No. 216); the cell edges are 7.972, 7.972 and 7.972 Å and the angles 90.00°, 90.00° and 90.00°. The inequivalent atoms are Sr at (0.000, 0.000, 0.000), Zr at (0.250, 0.250, 0.750) and Ta at (0.125, 0.125, 0.375).

The formation energy comes out at 3.4 eV/f.u. The magnetization comes out at 0.01 μB per cell.

Record 3
The following is a GGA-PBEsol calculation of a geometry-optimized MgOsRh2 structure, from Alexandria.

The structure belongs to space group R-3m (No. 166, hexagonal axes); the cell edges are 2.7391, 2.7391 and 26.3285 Å and the angles 90.00°, 90.00° and 120.00°. The inequivalent atoms are Mg at (0.0000, 0.0000, 0.0000), Os at (0.0000, 0.0000, 0.5000) and Rh at (0.0000, 0.0000, 0.2480).

The formation energy comes out at -0.1 eV/f.u. The magnetization comes out at 0.00 μB per cell.

Record 4
The following is a GGA-PBEsol calculation of a geometry-optimized Zr2MnCr structure, from Alexandria.

The structure belongs to space group I-4m2 (No. 119); the cell edges are 3.699, 3.699 and 9.558 Å and the angles 90.00°, 90.00° and 90.00°. The inequivalent atoms are Zr at (0.000, 0.000, 0.000), Zr at (0.000, 0.500, 0.250), Mn at (0.000, 0.500, 0.750) and Cr at (0.000, 0.000, 0.500).

The formation energy comes out at 1.3 eV/f.u. The magnetization comes out at 0.64 μB per cell.

Record 5
The following is a GGA-PBEsol calculation of a geometry-optimized Bi2BAsSe structure, from Alexandria.

The structure belongs to space group P4/mmm (No. 123); the cell edges are 5.257, 5.257 and 4.017 Å and the angles 90.00°, 90.00° and 90.00°. The inequivalent atoms are Bi at (0.000, 0.500, 0.000), B at (0.000, 0.000, 0.000), As at (0.000, 0.000, 0.500) and Se at (0.500, 0.500, 0.500).

The magnetization comes out at 0.00 μB per cell. The raw total energy is -4.38 eV per atom.

Record 6
The following is a GGA-PBEsol calculation of a geometry-optimized La2CoAs structure, from Alexandria.

The structure belongs to space group I-42d (No. 122); the cell edges are 7.627, 7.627 and 6.299 Å and the angles 90.00°, 90.00° and 90.00°. The inequivalent atoms are La at (0.201, 0.750, 0.125), Co at (0.000, 0.000, 0.000) and As at (0.000, 0.000, 0.500).

The formation energy comes out at -1.5 eV/f.u. The magnetization comes out at 0.00 μB per cell.

Number 1: theoretical density 4.5 g/cm³, D(E_F) 6.43 states/eV per cell. Number 2: theoretical density 11.8 g/cm³, D(E_F) 50.24 states/eV per cell. Number 3: theoretical density 12.2 g/cm³, D(E_F) 13.67 states/eV per cell. Number 4: theoretical density 7.3 g/cm³, D(E_F) 10.12 states/eV per cell. Number 5: theoretical density 8.7 g/cm³, D(E_F) 2.60 states/eV per cell. Number 6: theoretical density 7.5 g/cm³, D(E_F) 13.06 states/eV per cell.